# 1
Here is a geometry-optimized CsK2PtPb structure from Alexandria via LeMat-Bulk. Energies are from PBE-GGA.

Geometry as POSCAR:
```
CsK2PtPb
1.0
6.685 0.000 0.000
0.000 6.685 0.000
0.000 0.000 5.366
Cs K Pt Pb
1 2 1 1
direct
0.000 0.000 0.000 Cs
0.000 0.500 0.000 K
0.500 0.000 0.000 K
0.000 0.000 0.500 Pt
0.500 0.500 0.500 Pb
```

**Crystal system**: tetragonal
**Space-group type**: P4/mmm (123)
**Raw total energy**: -1.89 eV/atom

# 2
Here is a geometry-optimized Cd2SiTc structure from Alexandria via LeMat-Bulk. Energies are from PBE-GGA.

Geometry as POSCAR:
```
Cd2SiTc
1.0
1.508 0.871 9.256
-1.508 0.871 9.256
0.000 -1.741 9.256
Cd Si Tc
2 1 1
direct
0.000 0.000 0.000 Cd
0.235 0.235 0.235 Cd
0.479 0.479 0.479 Si
0.752 0.752 0.752 Tc
```

**Crystal system**: trigonal
**Space-group type**: R3m (160)
**Formation energy from raw total energies**: 0.149 eV per atom

# 3
Here is a geometry-optimized PmPrEuGa structure from Alexandria via LeMat-Bulk. Energies are from PBE-GGA.

Geometry as POSCAR:
```
PmPrEuGa
1.0
0.000 3.888 3.888
3.888 0.000 3.888
3.888 3.888 0.000
Pm Pr Eu Ga
1 1 1 1
direct
0.000 0.000 0.000 Pm
0.500 0.500 0.500 Pr
0.750 0.750 0.750 Eu
0.250 0.250 0.250 Ga
```

**Crystal system**: cubic
**Space-group type**: F-43m (216)
**Raw total energy**: -5.81 eV/atom

# 4
Here is a geometry-optimized MgTlCuTe2 structure from Alexandria via LeMat-Bulk. Energies are from PBE-GGA.

Geometry as POSCAR:
```
MgTlCuTe2
1.0
7.884 0.000 0.000
0.000 5.594 0.000
-1.771 0.000 7.353
Mg Tl Cu Te
2 2 2 4
direct
0.000 0.002 0.250 Mg
0.000 0.998 0.750 Mg
0.500 0.314 0.250 Tl
0.500 0.686 0.750 Tl
0.000 0.500 0.000 Cu
0.000 0.500 0.500 Cu
0.238 0.209 0.558 Te
0.238 0.791 0.058 Te
0.762 0.209 0.942 Te
0.762 0.791 0.442 Te
```

**Crystal system**: monoclinic
**Space-group type**: P2/c (13)
**Formation energy from raw total energies**: -0.378 eV per atom

# 5
Here is a geometry-optimized Tb2Sm6Tm3In structure from Alexandria via LeMat-Bulk. Energies are from PBE-GGA.

Geometry as POSCAR:
```
Tb2Sm6Tm3In
1.0
3.067 -5.319 0.000
3.067 5.319 0.000
-2.056 0.000 11.526
Tb Sm Tm In
2 6 3 1
direct
0.166 0.834 0.000 Tb
0.834 0.166 0.000 Tb
0.089 0.417 0.750 Sm
0.256 0.256 0.251 Sm
0.417 0.089 0.750 Sm
0.583 0.911 0.250 Sm
0.744 0.744 0.749 Sm
0.911 0.583 0.250 Sm
0.000 0.000 0.500 Tm
0.333 0.667 0.500 Tm
0.667 0.333 0.500 Tm
0.500 0.500 0.000 In
```

**Crystal system**: monoclinic
**Space-group type**: C2/m (12)
**Raw total energy**: -4.52 eV/atom

# 6
Here is a geometry-optimized PaSiRh structure from Alexandria via LeMat-Bulk. Energies are from PBE-GGA.

Geometry as POSCAR:
```
PaSiRh
1.0
4.312 0.000 0.000
-2.156 3.734 0.000
0.000 0.000 3.463
Pa Si Rh
1 1 1
direct
0.000 0.000 0.000 Pa
0.667 0.333 0.500 Si
0.333 0.667 0.500 Rh
```

**Crystal system**: hexagonal
**Space-group type**: P-6m2 (187)
**Formation energy from raw total energies**: -0.905 eV per atom

# 7
Here is a geometry-optimized Ho2GaO structure from Alexandria via LeMat-Bulk. Energies are from PBE-GGA.

Geometry as POSCAR:
```
Ho2GaO
1.0
1.891 1.092 8.258
-1.891 1.092 8.258
0.000 -2.184 8.258
Ho Ga O
2 1 1
direct
0.081 0.081 0.081 Ho
0.919 0.919 0.919 Ho
0.500 0.500 0.500 Ga
0.000 0.000 0.000 O
```

**Crystal system**: trigonal
**Space-group type**: R-3m (166)
**Formation energy from raw total energies**: -1.287 eV per atom

# 8
Here is a geometry-optimized NaHgPdCl6 structure from Alexandria via LeMat-Bulk. Energies are from PBE-GGA.

Geometry as POSCAR:
```
NaHgPdCl6
1.0
6.435 0.000 0.000
0.000 6.435 0.000
0.000 0.000 11.470
Na Hg Pd Cl
2 2 2 12
direct
0.000 0.000 0.000 Na
0.500 0.500 0.500 Na
0.000 0.000 0.679 Hg
0.500 0.500 0.179 Hg
0.000 0.000 0.338 Pd
0.500 0.500 0.838 Pd
0.176 0.176 0.489 Cl
0.179 0.179 0.190 Cl
0.212 0.212 0.828 Cl
0.288 0.712 0.328 Cl
0.321 0.679 0.690 Cl
0.324 0.676 0.989 Cl
0.676 0.324 0.989 Cl
0.679 0.321 0.690 Cl
0.712 0.288 0.328 Cl
0.788 0.788 0.828 Cl
0.821 0.821 0.190 Cl
0.824 0.824 0.489 Cl
```

**Crystal system**: tetragonal
**Space-group type**: P4_2nm (102)
**Formation energy from raw total energies**: -0.722 eV per atom